[1]
VASP calculation (PBEsol) on an optimized crystal structure of MoIN2O.

```
MoIN2O
1.0
3.8044 0.0000 0.0000
0.0000 4.0893 0.0000
0.0000 0.0000 4.0893
I Mo O N
1 1 1 2
Direct
0.5000 0.5000 0.5000
0.0000 0.0000 0.0000
0.5000 0.0000 0.0000
0.0000 0.0000 0.5000
0.0000 0.5000 0.0000
```

* V: 63.62 Å³/cell
* ΔE_f (raw): 1.18 eV per formula unit
* DFT total energy: -6.9305 eV/atom

[2]
VASP calculation (PBEsol) on an optimized crystal structure of MoIN2O.

```
MoIN2O
1.0
-1.1577 -3.5600 0.2721
3.1087 -1.1458 -1.7639
2.6413 -0.4794 4.9665
I Mo O N
1 1 1 2
Direct
0.0000 0.0000 0.5000
0.0000 0.0000 0.0000
0.5000 0.5000 0.5000
0.0000 0.5000 0.0000
0.5000 0.0000 0.0000
```

* V: 79.54 Å³/cell
* ΔE_f (raw): 3.36 eV per formula unit
* DFT total energy: -6.4960 eV/atom

[3]
VASP calculation (PBEsol) on an optimized crystal structure of MoPI2N.

```
MoPI2N
1.0
3.7621 0.0000 0.0000
0.0000 5.3922 0.0000
0.0000 0.0000 5.3922
I P Mo N
2 1 1 1
Direct
0.0000 0.0000 0.5000
0.0000 0.5000 0.0000
0.5000 0.5000 0.5000
0.0000 0.0000 0.0000
0.5000 0.0000 0.0000
```

* V: 109.39 Å³/cell
* ΔE_f (raw): 3.26 eV per formula unit
* DFT total energy: -5.2715 eV/atom

[4]
VASP calculation (PBEsol) on an optimized crystal structure of RbMoIN2.

```
RbMoIN2
1.0
-3.8560 3.2026 -0.3007
-2.9431 -3.7021 -1.6878
-1.8723 -1.6151 6.8077
I Mo Rb N
1 1 1 2
Direct
0.0000 0.0000 0.5000
0.5000 0.5000 0.5000
0.0000 0.0000 0.0000
0.0000 0.5000 0.0000
0.5000 0.0000 0.0000
```

* V: 182.64 Å³/cell
* ΔE_f (raw): 13.67 eV per formula unit
* DFT total energy: -3.5888 eV/atom

[5]
VASP calculation (PBEsol) on an optimized crystal structure of SbMoI2N.

```
SbMoI2N
1.0
-3.4540 2.8471 1.7528
-3.1531 -1.9357 -3.0691
-1.0941 -3.3012 3.2061
I Sb Mo N
2 1 1 1
Direct
0.0000 0.5000 0.0000
0.5000 0.0000 0.0000
0.0000 0.0000 0.5000
0.5000 0.5000 0.5000
0.0000 0.0000 0.0000
```

* V: 109.30 Å³/cell
* ΔE_f (raw): 6.71 eV per formula unit
* DFT total energy: -4.3351 eV/atom

[6]
VASP calculation (PBEsol) on an optimized crystal structure of SiMoI2N.

```
SiMoI2N
1.0
-1.9825 0.6357 -2.6124
3.9071 -1.9529 -3.4403
-2.1820 -5.0972 0.4154
I Mo Si N
2 1 1 1
Direct
0.0000 0.0000 0.5000
0.0000 0.5000 0.0000
0.5000 0.5000 0.5000
0.0000 0.0000 0.0000
0.5000 0.0000 0.0000
```

* V: 103.27 Å³/cell
* ΔE_f (raw): 4.13 eV per formula unit
* DFT total energy: -5.0881 eV/atom